Entry 1:
The following is a DFT calculation (PBE-GGA) of a relaxed structure of AgSn2Hg2.

a = 4.1933 Å, b = 4.1933 Å, c = 15.5208 Å
α = 90.00°, β = 90.00°, γ = 90.00°
Closest atoms and distances in Å follow each position.
Space group I4/mmm (No. 139)
Asymmetric unit:
Ag (0.0000, 0.0000, 0.0000) (multiplicity 2)  8 Hg 3.28
Sn (0.0000, 0.5000, 0.2500) (multiplicity 4)  4 Sn 2.97, 4 Hg 3.24
Hg (0.0000, 0.0000, 0.4093) (multiplicity 4)  1 Hg 2.81

***

Entry 2:
The following is a DFT calculation (PBE-GGA) of a relaxed structure of Ag3SnHg.

a = 3.1415 Å, b = 5.7227 Å, c = 11.9485 Å
α = 93.18°, β = 90.38°, γ = 105.25°
Closest atoms and distances in Å follow each position.
Space group P-1 (No. 2)
Asymmetric unit:
Ag (0.0107, 0.0264, 0.3395) (multiplicity 2)  6 Ag 2.90-3.14, 2 Sn 3.02-3.04, 3 Hg 3.03-3.06
Ag (0.1803, 0.3574, 0.0770) (multiplicity 2)  4 Ag 2.93-3.14, 5 Sn 3.00-3.16, 2 Hg 3.04-3.06
Ag (0.3623, 0.7250, 0.4825) (multiplicity 2)  9 Ag 2.90-3.14, 3 Hg 2.99-3.02
Sn (0.4483, 0.8961, 0.1274) (multiplicity 2)  7 Ag 3.00-3.16, 3 Sn 3.14-3.32
Hg (0.2624, 0.5182, 0.7084) (multiplicity 2)  8 Ag 2.99-3.06, 2 Hg 3.14

***

Entry 3:
The following is a DFT calculation (PBE-GGA) of a relaxed structure of AgSnHg.

a = 3.3828 Å, b = 3.3828 Å, c = 25.0226 Å
α = 90.00°, β = 90.00°, γ = 90.00°
Closest atoms and distances in Å follow each position.
Space group I4/mmm (No. 139)
Asymmetric unit:
Ag (0.0000, 0.0000, 0.2179) (multiplicity 4)  4 Ag 2.88, 4 Hg 2.96
Sn (0.0000, 0.0000, 0.0616) (multiplicity 4)  5 Sn 3.08-3.38, 4 Hg 3.22
Hg (0.0000, 0.0000, 0.3520) (multiplicity 4)  4 Ag 2.96, 4 Sn 3.22

***

These records have energy relative to the elements values of 256, 57, 116 meV per atom, in the order they appear.
These records have polymorph energy (0 for the lowest one) values of 149, 15, 75 meV per atom, in the order they appear.